Compound: CsRbCdHg2
Source: Alexandria
Functional: PBE
Structure: relaxed

Cell and atoms, written as POSCAR:
```
CsRbCdHg2
1.0
-6.271 1.597 3.536
0.560 -6.000 3.704
4.117 3.825 5.574
Cs Hg Cd Rb
2 4 2 2
Cartesian
-2.102 -1.420 8.148 Cs
0.508 0.843 4.666 Cs
0.416 -3.081 5.076 Hg
2.139 -1.481 7.409 Hg
-3.732 0.904 5.405 Hg
-2.010 2.504 7.738 Hg
0.000 0.000 0.000 Cd
0.280 -3.000 1.852 Cd
-3.148 -3.591 4.790 Rb
-2.563 -0.811 2.450 Rb
```

Calculated values
The calculation puts the polymorph energy (0 for the lowest one) at 0 meV per atom. For the formation energy, the calculation gives -0.11 eV/atom. Its size of the total moment is 0.000 μB per atom.